# Ce4Sb3N4 PBE-GGA relaxed
# - Space-group type: Amm2 (38)
# - ΔE_f (raw): -1.19 eV per atom
# - Density: 6.8 g/cm³
data_Ce4Sb3N4
_symmetry_space_group_name_H-M 'P 1'
_symmetry_Int_Tables_number 1
_cell_length_a 3.980
_cell_length_b 7.439
_cell_length_c 8.428
_cell_angle_alpha 90.00
_cell_angle_beta 90.00
_cell_angle_gamma 105.52
loop_
_symmetry_equiv_pos_as_xyz
'x,y,z'
loop_
_atom_site_label
_atom_site_fract_x
_atom_site_fract_y
_atom_site_fract_z
Ce1 0.668 0.337 0.241
Sb1 0.305 0.610 0.000
N1 0.092 0.184 0.754
Ce2 0.029 0.058 0.500
N2 0.588 0.175 0.000
Ce3 0.014 0.027 0.000
N3 0.610 0.219 0.500
Sb2 0.367 0.733 0.683
N4 0.092 0.184 0.246
Ce4 0.668 0.337 0.759
Sb3 0.367 0.733 0.317


# CeSbN PBE-GGA relaxed
# - Space-group type: P-6m2 (187)
# - Distance to the lowest polymorph of the same formula: 9.431 kcal/mol of atoms
# - ΔE_f (raw): -0.71 eV per atom
# - Density: 6.4 g/cm³
data_CeSbN
_symmetry_space_group_name_H-M 'P 1'
_symmetry_Int_Tables_number 1
_cell_length_a 5.768
_cell_length_b 3.778
_cell_length_c 3.778
_cell_angle_alpha 120.00
_cell_angle_beta 90.00
_cell_angle_gamma 90.00
loop_
_symmetry_equiv_pos_as_xyz
'x,y,z'
loop_
_atom_site_label
_atom_site_fract_x
_atom_site_fract_y
_atom_site_fract_z
N1 0.167 0.333 0.667
Sb1 0.667 0.667 0.333
Ce1 0.167 0.000 0.000


# Ce4Sb3N PBE-GGA relaxed
# - Space-group type: Pmn2_1 (31)
# - ΔE_f (raw): -0.97 eV per atom
# - Density: 6.4 g/cm³
data_Ce4Sb3N
_symmetry_space_group_name_H-M 'P 1'
_symmetry_Int_Tables_number 1
_cell_length_a 6.334
_cell_length_b 6.333
_cell_length_c 12.124
_cell_angle_alpha 90.00
_cell_angle_beta 90.00
_cell_angle_gamma 90.00
loop_
_symmetry_equiv_pos_as_xyz
'x,y,z'
loop_
_atom_site_label
_atom_site_fract_x
_atom_site_fract_y
_atom_site_fract_z
Ce1 0.651 0.253 0.000
Sb1 0.062 0.244 0.500
Sb2 0.562 0.756 0.000
Ce2 0.064 0.246 0.772
Ce3 0.151 0.747 0.500
Ce4 0.564 0.754 0.728
Ce5 0.564 0.754 0.272
Sb3 0.563 0.256 0.250
N1 0.488 0.827 0.500
N2 0.988 0.173 0.000
Ce6 0.561 0.165 0.500
Sb4 0.563 0.256 0.750
Ce7 0.061 0.835 0.000
Sb5 0.063 0.744 0.250
Sb6 0.063 0.744 0.750
Ce8 0.064 0.246 0.228


# Ce3Sb3N PBE-GGA relaxed
# - Space-group type: Pnma (62)
# - ΔE_f (raw): -1.01 eV per atom
# - Density: 7.1 g/cm³
data_Ce3Sb3N
_symmetry_space_group_name_H-M 'P 1'
_symmetry_Int_Tables_number 1
_cell_length_a 4.357
_cell_length_b 12.783
_cell_length_c 13.489
_cell_angle_alpha 90.00
_cell_angle_beta 90.00
_cell_angle_gamma 90.00
loop_
_symmetry_equiv_pos_as_xyz
'x,y,z'
loop_
_atom_site_label
_atom_site_fract_x
_atom_site_fract_y
_atom_site_fract_z
Ce1 0.750 0.269 0.383
N1 0.750 0.428 0.301
Ce2 0.250 0.731 0.617
Sb1 0.250 0.858 0.972
N2 0.250 0.572 0.699
Ce3 0.250 0.005 0.159
Ce4 0.250 0.505 0.341
Ce5 0.250 0.600 0.866
Ce6 0.750 0.400 0.134
Ce7 0.750 0.495 0.659
Sb2 0.750 0.249 0.711
Ce8 0.750 0.900 0.366
Ce9 0.750 0.769 0.117
Sb3 0.250 0.074 0.394
Ce10 0.250 0.231 0.883
N3 0.250 0.072 0.801
Sb4 0.750 0.749 0.789
Ce11 0.250 0.100 0.634
Sb5 0.750 0.142 0.028
Sb6 0.250 0.751 0.289
N4 0.750 0.928 0.199
Sb7 0.250 0.251 0.211
Sb8 0.750 0.642 0.472
Sb9 0.250 0.358 0.528
Sb10 0.750 0.426 0.894
Ce12 0.750 0.995 0.841
Sb11 0.750 0.926 0.606
Sb12 0.250 0.574 0.106